{"formula": "La2YTh3Bi6", "functional": "PBE-GGA", "state": "optimized geometry", "cell": [[10.0659, -2.3065, 0.0000], [10.0659, 2.3065, 0.0000], [-2.1495, 0.0000, 8.9691]], "species": ["La", "La", "Y", "Th", "Th", "Th", "Bi", "Bi", "Bi", "Bi", "Bi", "Bi"], "frac_coords": [[0.1656, 0.1656, 0.3318], [0.8344, 0.8344, 0.6682], [0.5000, 0.5000, 0.0000], [0.1690, 0.1690, 0.8345], [0.5000, 0.5000, 0.5000], [0.8310, 0.8310, 0.1655], [0.0025, 0.0025, 0.7560], [0.3344, 0.3344, 0.4143], [0.3365, 0.3365, 0.9218], [0.6635, 0.6635, 0.0782], [0.6656, 0.6656, 0.5857], [0.9975, 0.9975, 0.2440]], "formation_enthalpy_0k_ev_per_atom": -0.788, "magnetic_moment_mub_per_atom": 0.00, "total_energy_ev_per_cell": -71.3}

***

{"formula": "LaTiBi2", "functional": "PBE-GGA", "state": "optimized geometry", "cell": [[1.7226, 0.9945, 11.2546], [-1.7226, 0.9945, 11.2546], [0.0000, -1.9891, 11.2546]], "species": ["La", "Ti", "Bi", "Bi"], "frac_coords": [[0.0000, 0.0000, 0.0000], [0.5000, 0.5000, 0.5000], [0.1004, 0.1004, 0.1004], [0.8996, 0.8996, 0.8996]], "formation_enthalpy_0k_ev_per_atom": 0.004, "magnetic_moment_mub_per_atom": 0.05, "polymorph_energy_mev_per_atom": 327, "total_energy_ev_per_cell": -20.6}

***

{"formula": "LaTiBi2", "functional": "PBE-GGA", "state": "optimized geometry", "cell": [[-4.1384, 4.1384, 3.4926], [4.1384, -4.1384, 3.4926], [4.1384, 4.1384, -3.4926]], "species": ["La", "La", "Ti", "Ti", "Bi", "Bi", "Bi", "Bi"], "frac_coords": [[0.0000, 0.0000, 0.0000], [0.7500, 0.2500, 0.5000], [0.2500, 0.7500, 0.5000], [0.5000, 0.5000, 0.0000], [0.1632, 0.6250, 0.0382], [0.3750, 0.4132, 0.5382], [0.5868, 0.1250, 0.9618], [0.8750, 0.8368, 0.4618]], "formation_enthalpy_0k_ev_per_atom": -0.286, "magnetic_moment_mub_per_atom": 0.22, "polymorph_energy_mev_per_atom": 36, "total_energy_ev_per_cell": -43.5}

***

{"formula": "La2TiBi2", "functional": "PBE-GGA", "state": "optimized geometry", "cell": [[8.0557, 0.0000, 0.0000], [0.0000, 8.0557, 0.0000], [0.0000, 0.0000, 4.7317]], "species": ["La", "La", "La", "La", "Ti", "Ti", "Bi", "Bi", "Bi", "Bi"], "frac_coords": [[0.1626, 0.3374, 0.0000], [0.3374, 0.8374, 0.0000], [0.6626, 0.1626, 0.0000], [0.8374, 0.6626, 0.0000], [0.0000, 0.0000, 0.5000], [0.5000, 0.5000, 0.5000], [0.1497, 0.6497, 0.5000], [0.3503, 0.1497, 0.5000], [0.6497, 0.8503, 0.5000], [0.8503, 0.3503, 0.5000]], "formation_enthalpy_0k_ev_per_atom": -0.537, "magnetic_moment_mub_per_atom": 0.41, "total_energy_ev_per_cell": -56.4}

***

{"formula": "LaTi2Bi2", "functional": "PBE-GGA", "state": "optimized geometry", "cell": [[8.1755, 0.0000, 0.0000], [0.0000, 8.1755, 0.0000], [0.0000, 0.0000, 3.6795]], "species": ["La", "La", "Ti", "Ti", "Ti", "Ti", "Bi", "Bi", "Bi", "Bi"], "frac_coords": [[0.0000, 0.0000, 0.0000], [0.5000, 0.5000, 0.0000], [0.1159, 0.3841, 0.0000], [0.3841, 0.8841, 0.0000], [0.6159, 0.1159, 0.0000], [0.8841, 0.6159, 0.0000], [0.1718, 0.6718, 0.5000], [0.3282, 0.1718, 0.5000], [0.6718, 0.8282, 0.5000], [0.8282, 0.3282, 0.5000]], "formation_enthalpy_0k_ev_per_atom": -0.161, "magnetic_moment_mub_per_atom": 0.06, "polymorph_energy_mev_per_atom": 225, "total_energy_ev_per_cell": -58.6}

***

{"formula": "LaTiBi", "functional": "PBE-GGA", "state": "optimized geometry", "cell": [[5.8228, -2.0205, 0.0000], [5.8228, 2.0205, 0.0000], [-1.8838, 0.0000, 7.7191]], "species": ["La", "La", "Ti", "Ti", "Bi", "Bi"], "frac_coords": [[0.1019, 0.1019, 0.2933], [0.8981, 0.8981, 0.7067], [0.3824, 0.3824, 0.0395], [0.6176, 0.6176, 0.9605], [0.1805, 0.1805, 0.7351], [0.8195, 0.8195, 0.2649]], "formation_enthalpy_0k_ev_per_atom": -0.261, "magnetic_moment_mub_per_atom": 0.00, "total_energy_ev_per_cell": -35.0}

***

{"formula": "LaTi2Bi2", "functional": "PBE-GGA", "state": "optimized geometry", "cell": [[-2.1119, 2.1119, 7.2964], [2.1119, -2.1119, 7.2964], [2.1119, 2.1119, -7.2964]], "species": ["La", "Ti", "Ti", "Bi", "Bi"], "frac_coords": [[0.0000, 0.0000, 0.0000], [0.2500, 0.7500, 0.5000], [0.7500, 0.2500, 0.5000], [0.3832, 0.3832, 0.0000], [0.6168, 0.6168, 0.0000]], "formation_enthalpy_0k_ev_per_atom": -0.386, "magnetic_moment_mub_per_atom": 0.00, "polymorph_energy_mev_per_atom": 0, "total_energy_ev_per_cell": -30.4}

***

{"formula": "LaTiBi2", "functional": "PBE-GGA", "state": "optimized geometry", "cell": [[0.0000, 3.8247, 3.8247], [3.8247, 0.0000, 3.8247], [3.8247, 3.8247, 0.0000]], "species": ["La", "Ti", "Bi", "Bi"], "frac_coords": [[0.0000, 0.0000, 0.0000], [0.5000, 0.5000, 0.5000], [0.2500, 0.2500, 0.2500], [0.7500, 0.7500, 0.7500]], "formation_enthalpy_0k_ev_per_atom": -0.323, "magnetic_moment_mub_per_atom": 0.48, "polymorph_energy_mev_per_atom": 0, "total_energy_ev_per_cell": -21.9}

***

{"formula": "La2TiBi", "functional": "PBE-GGA", "state": "optimized geometry", "cell": [[-4.3381, 4.3381, 3.1631], [4.3381, -4.3381, 3.1631], [4.3381, 4.3381, -3.1631]], "species": ["La", "La", "La", "La", "Ti", "Ti", "Bi", "Bi"], "frac_coords": [[0.1062, 0.1250, 0.4812], [0.3750, 0.8938, 0.0188], [0.6438, 0.6250, 0.5188], [0.8750, 0.3562, 0.9812], [0.0000, 0.0000, 0.0000], [0.7500, 0.2500, 0.5000], [0.2500, 0.7500, 0.5000], [0.5000, 0.5000, 0.0000]], "formation_enthalpy_0k_ev_per_atom": 0.121, "magnetic_moment_mub_per_atom": 0.00, "total_energy_ev_per_cell": -42.3}

***

{"formula": "LaTi2Bi2", "functional": "PBE-GGA", "state": "optimized geometry", "cell": [[8.4309, 0.0000, 0.0000], [0.0000, 8.4309, 0.0000], [0.0000, 0.0000, 3.5392]], "species": ["La", "La", "Ti", "Ti", "Ti", "Ti", "Bi", "Bi", "Bi", "Bi"], "frac_coords": [[0.0000, 0.0000, 0.0000], [0.5000, 0.5000, 0.0000], [0.1379, 0.3621, 0.5000], [0.3621, 0.8621, 0.5000], [0.6379, 0.1379, 0.5000], [0.8621, 0.6379, 0.5000], [0.1474, 0.6474, 0.0000], [0.3526, 0.1474, 0.0000], [0.6474, 0.8526, 0.0000], [0.8526, 0.3526, 0.0000]], "formation_enthalpy_0k_ev_per_atom": -0.147, "magnetic_moment_mub_per_atom": 0.22, "polymorph_energy_mev_per_atom": 239, "total_energy_ev_per_cell": -58.4}

***

{"formula": "LaTiTl2Bi", "functional": "PBE-GGA", "state": "optimized geometry", "cell": [[6.0307, 0.0000, 0.0000], [0.0000, 6.0307, 0.0000], [0.0000, 0.0000, 5.1173]], "species": ["La", "Ti", "Tl", "Tl", "Bi"], "frac_coords": [[0.0000, 0.0000, 0.0000], [0.0000, 0.0000, 0.5000], [0.0000, 0.5000, 0.0000], [0.5000, 0.0000, 0.0000], [0.5000, 0.5000, 0.5000]], "formation_enthalpy_0k_ev_per_atom": 0.970, "magnetic_moment_mub_per_atom": 0.31, "total_energy_ev_per_cell": -16.6}

***

{"formula": "LaTi2TlBi", "functional": "PBE-GGA", "state": "optimized geometry", "cell": [[5.2507, 0.0000, 0.0000], [0.0000, 5.2507, 0.0000], [0.0000, 0.0000, 5.9704]], "species": ["La", "Ti", "Ti", "Tl", "Bi"], "frac_coords": [[0.0000, 0.0000, 0.0000], [0.0000, 0.5000, 0.5000], [0.5000, 0.0000, 0.5000], [0.5000, 0.5000, 0.0000], [0.5000, 0.5000, 0.5000]], "formation_enthalpy_0k_ev_per_atom": 0.711, "magnetic_moment_mub_per_atom": 0.71, "total_energy_ev_per_cell": -23.4}